First-principles (PBE-GGA) data for a geometry-optimized Th2Al3Co2 structure, as listed in Alexandria.

Properties
- energy of formation (kJ per mole of atoms) = -46.5
- space-group type = No. 12
- total DFT energy (no corrections) (eV per atom) = -6.24
- total moment (μB per formula unit) = 0.0

abc: 5.397 5.397 7.064
angles: 113.86 113.86 45.32
Atoms (fractional coordinates):
Th 0.139 0.139 0.279
Th 0.861 0.861 0.721
Al 0.357 0.357 0.064
Al 0.500 0.500 0.500
Al 0.643 0.643 0.936
Co 0.134 0.134 0.709
Co 0.866 0.866 0.291